Density functional theory data (PBE) for La3Si2O after structural relaxation.

Lattice parameters (Å, degrees): 6.891 6.891 8.039 100.05 100.05 54.00
Fractional positions:
La  0.095  0.905  0.750
La  0.245  0.463  0.349
La  0.463  0.245  0.849
La  0.537  0.755  0.151
La  0.755  0.537  0.651
La  0.905  0.095  0.250
Si  0.047  0.304  0.018
Si  0.304  0.047  0.518
Si  0.696  0.953  0.482
Si  0.953  0.696  0.982
O  0.454  0.546  0.750
O  0.546  0.454  0.250

## Properties
Energy relative to the elements, uncorrected (eV/atom): -1.386
Space group: C2/c (15)